# 1
Computed, not measured: an optimized crystal structure of ZnFeRh2 at the GGA-PBE level of DFT.

Computed properties:
total DFT energy (no corrections)	-6.172	eV/atom

```
data_ZnFeRh2
_symmetry_space_group_name_H-M 'C m m m'
_symmetry_Int_Tables_number 65
_symmetry_space_group_name_Hall '-C 2 2'
_cell_length_a 2.857
_cell_length_b 4.554
_cell_length_c 8.546
_cell_angle_alpha 90.00
_cell_angle_beta 90.00
_cell_angle_gamma 90.00
loop_
_atom_site_label
_atom_site_type_symbol
_atom_site_fract_x
_atom_site_fract_y
_atom_site_fract_z
Zn1 Zn 0.000 0.000 0.000
Fe1 Fe 0.000 0.000 0.500
Rh1 Rh 0.000 0.500 0.254
```

=====

# 2
Computed, not measured: an optimized crystal structure of ZnFeRh2 at the GGA-PBE level of DFT.

Computed properties:
total DFT energy (no corrections)	-6.141	eV/atom

```
data_ZnFeRh2
_symmetry_space_group_name_H-M 'P 4 m m'
_symmetry_Int_Tables_number 99
_symmetry_space_group_name_Hall 'P 4 -2'
_cell_length_a 3.154
_cell_length_b 3.154
_cell_length_c 5.593
_cell_angle_alpha 90.00
_cell_angle_beta 90.00
_cell_angle_gamma 90.00
loop_
_atom_site_label
_atom_site_type_symbol
_atom_site_fract_x
_atom_site_fract_y
_atom_site_fract_z
Zn1 Zn 0.000 0.000 0.000
Fe1 Fe 0.500 0.500 0.252
Rh1 Rh 0.000 0.000 0.472
Rh2 Rh 0.500 0.500 0.775
```

=====

# 3
Computed, not measured: an optimized crystal structure of ZnFeRh2 at the GGA-PBE level of DFT.

Computed properties:
total DFT energy (no corrections)	-6.160	eV/atom

```
data_ZnFeRh2
_symmetry_space_group_name_H-M 'P 4 m m'
_symmetry_Int_Tables_number 99
_symmetry_space_group_name_Hall 'P 4 -2'
_cell_length_a 2.726
_cell_length_b 2.726
_cell_length_c 7.308
_cell_angle_alpha 90.00
_cell_angle_beta 90.00
_cell_angle_gamma 90.00
loop_
_atom_site_label
_atom_site_type_symbol
_atom_site_fract_x
_atom_site_fract_y
_atom_site_fract_z
Zn1 Zn 0.000 0.000 0.000
Fe1 Fe 0.500 0.500 0.247
Rh1 Rh 0.000 0.000 0.488
Rh2 Rh 0.500 0.500 0.749
```

=====

Question: Which of these has the lowest total DFT energy (no corrections)?
Answer: number 1

=====

Question: Which value of total DFT energy (no corrections) does entry 1 give?
Answer: -6.172 eV/atom

=====

Question: Which of these has the highest total DFT energy (no corrections)?
Answer: number 2

=====

Question: Look up the total DFT energy (no corrections) of the first one.
Answer: -6.172 eV/atom